First-principles (GGA-PBE) data for Be3Fe after structural relaxation, as listed in Alexandria.

```
Be3Fe
1.0
3.513 -2.860 0.000
3.513 2.860 0.000
0.000 0.000 3.416
Be Fe
6 2
Direct
0.097 0.903 0.750 Be
0.135 0.400 0.750 Be
0.400 0.135 0.250 Be
0.600 0.865 0.750 Be
0.865 0.600 0.250 Be
0.903 0.097 0.250 Be
0.349 0.651 0.250 Fe
0.651 0.349 0.750 Fe
```

Summary:
Total magnetic moment, Bohr magnetons per cell: 2.12
Energy of formation, eV per atom: -0.121


First-principles (GGA-PBE) data for YTm2Ru after structural relaxation, as listed in Alexandria.

```
YTm2Ru
1.0
1.958 -5.889 0.000
1.958 5.889 0.000
0.000 0.000 8.938
Y Tm Ru
2 4 2
Direct
0.073 0.927 0.750 Y
0.927 0.073 0.250 Y
0.356 0.644 0.566 Tm
0.356 0.644 0.934 Tm
0.644 0.356 0.066 Tm
0.644 0.356 0.434 Tm
0.256 0.744 0.250 Ru
0.744 0.256 0.750 Ru
```

Summary:
Polymorph energy (0 for the lowest one), eV/atom: 0.016
Total magnetic moment, Bohr magnetons per cell: 0.00
Energy of formation, eV per atom: -0.337


| no. | density (g/cm³) |
| --- | --- |
| 1 | 4.01 |
| 2 | 8.50 |